(1)
# CeTlHg

Crystalline CeTlHg at its relaxed geometry (PBE-GGA, the Alexandria database).

Cell: 6.581 6.581 6.661 Å, 60.18 60.17 43.49°
Site moments in Bohr magnetons follow the coordinates.
Positions (direct):
Hg  0.064  0.022  0.448  0.00
Hg  0.776  0.734  0.863  0.00
Ce  0.098  0.056  0.926  0.86
Ce  0.742  0.700  0.385  0.86
Tl  0.422  0.379  0.401  0.01
Tl  0.419  0.376  0.909  0.01

Results
The crystal system is monoclinic. For the energy relative to the lowest polymorph listed for this composition, the calculation gives 97.3 meV/atom. The calculation puts the spin magnetization at 2.02 μB per cell. The space group is No. 12. The electronic total energy comes out at -3.078 eV/atom.

(2)
# Ce8TlHg2

Crystalline Ce8TlHg2 at its relaxed geometry (PBE-GGA, the Alexandria database).

Cell: 5.670 8.463 8.267 Å, 59.21 80.09 70.35°
Site moments in Bohr magnetons follow the coordinates.
Positions (direct):
Ce  0.084  0.725  0.194  0.32
Ce  0.658  0.591  0.000  0.42
Ce  0.084  0.919  0.806  0.32
Ce  0.916  0.275  0.806  0.32
Ce  0.342  0.409  0.000  0.42
Ce  0.916  0.081  0.194  0.32
Ce  0.500  0.233  0.534  0.92
Ce  0.500  0.767  0.466  0.92
Hg  0.000  0.310  0.380  0.02
Hg  0.000  0.690  0.620  0.02
Tl  0.500  0.000  0.000  0.00

Results
The crystal system is monoclinic. For the energy relative to the lowest polymorph listed for this composition, the calculation gives 0.0 meV/atom. The calculation puts the spin magnetization at 4.98 μB per cell. The space group is No. 12. The electronic total energy comes out at -4.643 eV/atom.

(3)
# Ce6TlHg2

Crystalline Ce6TlHg2 at its relaxed geometry (PBE-GGA, the Alexandria database).

Cell: 3.089 9.146 9.146 Å, 120.00 90.00 90.00°
Site moments in Bohr magnetons follow the coordinates.
Positions (direct):
Ce  0.500  0.000  0.658  0.64
Ce  0.500  0.658  0.658  0.64
Ce  0.500  0.000  0.342  0.64
Ce  0.500  0.342  0.000  0.64
Ce  0.500  0.342  0.342  0.64
Ce  0.500  0.658  0.000  0.64
Tl  0.000  0.000  0.000  0.00
Hg  0.000  0.333  0.667  0.00
Hg  0.000  0.667  0.333  0.00

Results
The crystal system is hexagonal. For the energy relative to the lowest polymorph listed for this composition, the calculation gives 0.0 meV/atom. The calculation puts the spin magnetization at 4.67 μB per cell. The space group is No. 191. The electronic total energy comes out at -4.411 eV/atom.

(4)
# Ce4TlHg2

Crystalline Ce4TlHg2 at its relaxed geometry (PBE-GGA, the Alexandria database).

Cell: 5.027 5.027 8.946 Å, 73.68 73.68 60.00°
Site moments in Bohr magnetons follow the coordinates.
Positions (direct):
Ce  0.428  0.428  0.715  1.00
Ce  0.282  0.282  0.154  0.96
Ce  0.572  0.572  0.285  1.00
Ce  0.718  0.718  0.846  0.96
Hg  0.148  0.148  0.557  0.00
Hg  0.852  0.852  0.443  0.00
Tl  0.000  0.000  0.000  -0.03

Results
The crystal system is trigonal. For the energy relative to the lowest polymorph listed for this composition, the calculation gives 4.2 meV/atom. The calculation puts the spin magnetization at 4.67 μB per cell. The space group is No. 166. The electronic total energy comes out at -3.911 eV/atom.

(5)
# CeTlHg4

Crystalline CeTlHg4 at its relaxed geometry (PBE-GGA, the Alexandria database).

Cell: 6.113 6.113 6.113 Å, 60.00 60.00 60.00°
Site moments in Bohr magnetons follow the coordinates.
Positions (direct):
Hg  0.625  0.625  0.625  0.01
Hg  0.625  0.126  0.625  0.01
Hg  0.126  0.625  0.625  0.01
Hg  0.625  0.625  0.126  0.01
Tl  0.000  0.000  0.000  0.01
Ce  0.250  0.250  0.250  1.13

Results
The crystal system is cubic. For the energy relative to the lowest polymorph listed for this composition, the calculation gives 126.2 meV/atom. The calculation puts the spin magnetization at 1.44 μB per cell. The space group is No. 216. The electronic total energy comes out at -1.661 eV/atom.

(6)
# CeTlHg2

Crystalline CeTlHg2 at its relaxed geometry (PBE-GGA, the Alexandria database).

Cell: 5.296 5.296 5.294 Å, 59.99 59.99 60.00°
Site moments in Bohr magnetons follow the coordinates.
Positions (direct):
Hg  0.000  0.000  0.000  0.01
Hg  0.250  0.250  0.250  0.00
Tl  0.500  0.500  0.500  0.02
Ce  0.750  0.750  0.750  0.90

Results
The crystal system is cubic. The calculation puts the spin magnetization at 1.04 μB per cell. The space group is No. 216. The electronic total energy comes out at -2.444 eV/atom.